This record from Alexandria describes a relaxed structure of FeBiIrBr2. The functional is GGA-PBE.

Output
Raw formation energy: 120.0 kJ per mole of atoms

Structure (CIF):
```
data_FeBiIrBr2
_cell_length_a 5.780
_cell_length_b 5.780
_cell_length_c 5.201
_cell_angle_alpha 90.00
_cell_angle_beta 90.00
_cell_angle_gamma 90.00
_space_group_name_H-M_alt 'P 4/m m m'
_space_group_IT_number 123
_space_group_name_Hall '-P 4 2'
loop_
_atom_site_label
_atom_site_fract_x
_atom_site_fract_y
_atom_site_fract_z
Fe1 0.000 0.000 0.000
Bi1 0.500 0.500 0.500
Ir1 0.500 0.500 0.000
Br1 0.000 0.500 0.500
```